Record 1
Entry from Alexandria: a relaxed structure of TcOs2Ru (PBE-GGA).

abc: 2.737 4.497 9.681
angles: 90.00 90.00 90.00
Space group Immm (No. 71)
Asymmetric unit:
Tc 0.000 0.000 0.000
Os 0.000 0.500 0.225
Ru 0.000 0.000 0.500

Crystal system: orthorhombic
Distance to the lowest polymorph of the same formula in meV/atom: 576

=====

Record 2
Entry from Alexandria: a relaxed structure of TcOs2Ru (PBE-GGA).

abc: 3.253 3.253 5.566
angles: 90.00 90.00 90.00
Space group P4mm (No. 99)
Asymmetric unit:
Tc 0.000 0.000 0.000
Os 0.000 0.000 0.515
Os 0.500 0.500 0.260
Ru 0.500 0.500 0.749

Crystal system: tetragonal
Distance to the lowest polymorph of the same formula in meV/atom: 619

=====

Record 3
Entry from Alexandria: a relaxed structure of TcOs2Ru (PBE-GGA).

abc: 2.7269 2.7269 26.6654
angles: 90.00 90.00 120.00
Space group R3m (No. 160, hexagonal axes)
Asymmetric unit:
Tc 0.0000 0.0000 0.0000
Os 0.0000 0.0000 0.5005
Os 0.0000 0.0000 0.7504
Ru 0.0000 0.0000 0.2500

Crystal system: trigonal
Distance to the lowest polymorph of the same formula in meV/atom: 161

=====

Record 4
Entry from Alexandria: a relaxed structure of TcOs2Ru (PBE-GGA).

abc: 9.041 2.719 4.720
angles: 90.00 99.85 90.00
Space group C2/m (No. 12)
Asymmetric unit:
Tc 0.000 0.000 0.000
Os 0.250 0.000 0.751
Ru 0.000 0.500 0.500

Crystal system: monoclinic
Distance to the lowest polymorph of the same formula in meV/atom: 141

=====

Record 5
Entry from Alexandria: a relaxed structure of TcOsRu2 (PBE-GGA).

abc: 3.230 3.230 5.596
angles: 90.00 90.00 90.00
Space group P4mm (No. 99)
Asymmetric unit:
Tc 0.000 0.000 0.000
Os 0.500 0.500 0.261
Ru 0.000 0.000 0.519
Ru 0.500 0.500 0.743

Crystal system: tetragonal
Distance to the lowest polymorph of the same formula in meV/atom: 552

=====

Record 6
Entry from Alexandria: a relaxed structure of TcOsRu2 (PBE-GGA).

abc: 2.717 2.717 7.684
angles: 90.00 90.00 90.00
Space group P4/mmm (No. 123)
Asymmetric unit:
Tc 0.000 0.000 0.000
Os 0.000 0.000 0.500
Ru 0.500 0.500 0.252

Crystal system: tetragonal
Distance to the lowest polymorph of the same formula in meV/atom: 142

=====

Record 7
Entry from Alexandria: a relaxed structure of Tc2Os3Ru (PBE-GGA).

abc: 2.742 7.825 8.732
angles: 73.83 80.98 79.92
Space group P-1 (No. 2)
Asymmetric unit:
Tc 0.014 0.112 0.360
Tc 0.485 0.389 0.140
Os 0.156 0.302 0.887
Os 0.332 0.939 0.897
Os 0.345 0.198 0.612
Ru 0.169 0.559 0.603

E in eV/atom: -10.49
Crystal system: triclinic

=====

Record 8
Entry from Alexandria: a relaxed structure of TcOs2Ru (PBE-GGA).

abc: 5.450 7.713 2.721
angles: 90.00 90.00 90.00
Space group Cmmm (No. 65)
Asymmetric unit:
Tc 0.000 0.000 0.000
Os 0.250 0.250 0.500
Ru 0.000 0.500 0.000

Crystal system: orthorhombic
Distance to the lowest polymorph of the same formula in meV/atom: 140

=====

Record 9
Entry from Alexandria: a relaxed structure of Tc2OsRu5 (PBE-GGA).

abc: 5.480 8.657 9.491
angles: 90.00 90.00 90.00
Space group Fmm2 (No. 42)
Asymmetric unit:
Tc 0.000 0.249 0.000
Os 0.000 0.000 0.166
Ru 0.000 0.000 0.666
Ru 0.249 0.000 0.417
Ru 0.250 0.250 0.247

E in eV/atom: -9.85
Crystal system: orthorhombic

=====

Record 10
Entry from Alexandria: a relaxed structure of TcOs4Ru (PBE-GGA).

abc: 8.618 3.853 5.452
angles: 90.00 108.59 90.00
Space group C2/m (No. 12)
Asymmetric unit:
Tc 0.000 0.000 0.000
Os 0.167 0.500 0.333
Os 0.167 0.500 0.833
Ru 0.000 0.000 0.500

Crystal system: monoclinic
Distance to the lowest polymorph of the same formula in meV/atom: 0

=====

Record 11
Entry from Alexandria: a relaxed structure of TcOsRu (PBE-GGA).

abc: 14.147 2.724 4.719
angles: 90.00 109.35 90.00
Space group C2/m (No. 12)
Asymmetric unit:
Tc 0.082 0.000 0.416
Os 0.084 0.500 0.918
Ru 0.249 0.000 0.247

Crystal system: monoclinic
Distance to the lowest polymorph of the same formula in meV/atom: 0

=====

Record 12
Entry from Alexandria: a relaxed structure of Tc2Os3Ru4 (PBE-GGA).

abc: 11.279 10.107 4.773
angles: 90.00 103.29 90.00
Space group C2/c (No. 15)
Asymmetric unit:
Tc 0.209 0.079 0.103
Os 0.000 0.045 0.250
Os 0.105 0.449 0.479
Ru 0.072 0.280 0.031
Ru 0.168 0.189 0.600

E in eV/atom: -9.92
Crystal system: monoclinic

=====

Record 13
Entry from Alexandria: a relaxed structure of Tc2Os6Ru (PBE-GGA).

abc: 11.683 7.074 8.742
angles: 90.00 131.29 90.00
Space group C2/c (No. 15)
Asymmetric unit:
Tc 0.049 0.171 0.488
Os 0.083 0.472 0.701
Os 0.198 0.296 0.088
Os 0.211 0.133 0.365
Ru 0.000 0.126 0.750

E in eV/atom: -10.53
Crystal system: monoclinic

=====

Record 14
Entry from Alexandria: a relaxed structure of TcOs2Ru (PBE-GGA).

abc: 3.852 3.852 7.705
angles: 90.00 90.00 90.00
Space group I4/mmm (No. 139)
Asymmetric unit:
Tc 0.000 0.000 0.000
Os 0.000 0.500 0.250
Ru 0.000 0.000 0.500

Crystal system: tetragonal
Distance to the lowest polymorph of the same formula in meV/atom: 135

=====

Record 15
Entry from Alexandria: a relaxed structure of TcOsRu2 (PBE-GGA).

abc: 3.847 3.847 7.670
angles: 90.00 90.00 90.00
Space group I-4m2 (No. 119)
Asymmetric unit:
Tc 0.000 0.000 0.000
Os 0.000 0.500 0.750
Ru 0.000 0.000 0.500
Ru 0.000 0.500 0.250

Crystal system: tetragonal
Distance to the lowest polymorph of the same formula in meV/atom: 133

=====

Record 16
Entry from Alexandria: a relaxed structure of Tc2OsRu2 (PBE-GGA).

abc: 17.602 2.742 6.853
angles: 90.00 98.13 90.00
Space group C2/m (No. 12)
Asymmetric unit:
Tc 0.051 0.000 0.369
Tc 0.079 0.500 0.709
Os 0.188 0.000 0.931
Ru 0.159 0.500 0.232
Ru 0.195 0.000 0.558

Crystal system: monoclinic
Distance to the lowest polymorph of the same formula in meV/atom: 121

=====

Record 17
Entry from Alexandria: a relaxed structure of TcTe2OsRu (PBE-GGA).

abc: 5.019 5.019 4.590
angles: 90.00 90.00 90.00
Space group P4/mmm (No. 123)
Asymmetric unit:
Tc 0.000 0.000 0.000
Te 0.000 0.500 0.000
Os 0.500 0.500 0.500
Ru 0.000 0.000 0.500

E in eV/atom: -5.62
Crystal system: tetragonal

=====

Record 18
Entry from Alexandria: a relaxed structure of TeOs2Ru (PBE-GGA).

abc: 6.385 6.385 6.385
angles: 90.00 90.00 90.00
Space group F-43m (No. 216)
Asymmetric unit:
Te 0.000 0.000 0.000
Os 0.000 0.000 0.500
Os 0.250 0.250 0.250
Ru 0.250 0.250 0.750

E in eV/atom: -7.82
Crystal system: cubic

=====

Record 19
Entry from Alexandria: a relaxed structure of TeOsRu (PBE-GGA).

abc: 3.031 4.069 8.152
angles: 90.00 90.00 90.00
Space group Imm2 (No. 44)
Asymmetric unit:
Te 0.000 0.000 0.000
Os 0.000 0.000 0.678
Ru 0.000 0.000 0.319

Crystal system: orthorhombic
Distance to the lowest polymorph of the same formula in meV/atom: 223

=====

Record 20
Entry from Alexandria: a relaxed structure of TeOs2Ru (PBE-GGA).

abc: 5.812 5.812 11.047
angles: 90.00 90.00 90.00
Space group I-42d (No. 122)
Asymmetric unit:
Te 0.000 0.000 0.000
Os 0.220 0.250 0.625
Ru 0.000 0.000 0.500

E in eV/atom: -7.61
Crystal system: tetragonal

=====

Record 21
Entry from Alexandria: a relaxed structure of TeOs4Ru (PBE-GGA).

abc: 7.385 7.385 7.385
angles: 90.00 90.00 90.00
Space group F-43m (No. 216)
Asymmetric unit:
Te 0.000 0.000 0.000
Os 0.124 0.124 0.624
Ru 0.250 0.250 0.250

E in eV/atom: -8.48
Crystal system: cubic

=====

Record 22
Entry from Alexandria: a relaxed structure of Te2Os2Ru (PBE-GGA).

abc: 4.212 4.212 11.259
angles: 90.00 90.00 90.00
Space group I4/mmm (No. 139)
Asymmetric unit:
Te 0.000 0.500 0.250
Os 0.000 0.000 0.108
Ru 0.000 0.000 0.500

E in eV/atom: -6.38
Crystal system: tetragonal

=====

Record 23
Entry from Alexandria: a relaxed structure of Te3OsRu (PBE-GGA).

abc: 5.114 5.114 5.114
angles: 90.00 90.00 90.00
Space group Pm-3m (No. 221)
Asymmetric unit:
Te 0.000 0.000 0.500
Os 0.000 0.000 0.000
Ru 0.500 0.500 0.500

Crystal system: cubic
Distance to the lowest polymorph of the same formula in meV/atom: 0

=====

Record 24
Entry from Alexandria: a relaxed structure of TeOs2Ru2 (PBE-GGA).

abc: 3.647 3.647 12.849
angles: 90.00 90.00 90.00
Space group I4/mmm (No. 139)
Asymmetric unit:
Te 0.000 0.000 0.000
Os 0.000 0.000 0.394
Ru 0.000 0.500 0.250

Crystal system: tetragonal
Distance to the lowest polymorph of the same formula in meV/atom: 152

=====

Record 25
Entry from Alexandria: a relaxed structure of Te2OsRu (PBE-GGA).

abc: 3.948 3.948 9.499
angles: 90.00 90.00 90.00
Space group I-4m2 (No. 119)
Asymmetric unit:
Te 0.000 0.000 0.000
Te 0.000 0.500 0.250
Os 0.000 0.500 0.750
Ru 0.000 0.000 0.500

Crystal system: tetragonal
Distance to the lowest polymorph of the same formula in meV/atom: 564

=====

Record 26
Entry from Alexandria: a relaxed structure of TeOs2Ru (PBE-GGA).

abc: 2.941 2.941 7.538
angles: 90.00 90.00 90.00
Space group P4mm (No. 99)
Asymmetric unit:
Te 0.000 0.000 0.000
Os 0.000 0.000 0.505
Os 0.500 0.500 0.287
Ru 0.500 0.500 0.747

E in eV/atom: -8.11
Crystal system: tetragonal

=====

Record 27
Entry from Alexandria: a relaxed structure of TeOsRu (PBE-GGA).

abc: 4.3547 4.3547 3.0851
angles: 90.00 90.00 120.00
Space group P3m1 (No. 156)
Asymmetric unit:
Te 0.0000 0.0000 0.0000
Os 0.6667 0.3333 0.2289
Ru 0.3333 0.6667 0.7100

Crystal system: trigonal
Distance to the lowest polymorph of the same formula in meV/atom: 165

=====

Number 1: theoretical density 16.15 g/cm³. Number 2: theoretical density 16.34 g/cm³. Number 3: theoretical density 16.81 g/cm³. Number 4: theoretical density 16.83 g/cm³. Number 5: theoretical density 13.94 g/cm³. Number 6: theoretical density 14.35 g/cm³. Number 7: theoretical density 16.37 g/cm³. Number 8: theoretical density 16.83 g/cm³. Number 9: theoretical density 13.15 g/cm³. Number 10: theoretical density 18.58 g/cm³. Number 11: theoretical density 15.07 g/cm³. Number 12: theoretical density 14.69 g/cm³. Number 13: theoretical density 17.60 g/cm³. Number 14: theoretical density 16.83 g/cm³. Number 15: theoretical density 14.35 g/cm³. Number 16: theoretical density 11.94 g/cm³. Number 17: theoretical density 9.26 g/cm³. Number 18: theoretical density 15.55 g/cm³. Number 19: theoretical density 13.84 g/cm³. Number 20: theoretical density 10.84 g/cm³. Number 21: theoretical density 16.32 g/cm³. Number 22: theoretical density 12.25 g/cm³. Number 23: theoretical density 8.37 g/cm³. Number 24: theoretical density 13.80 g/cm³. Number 25: theoretical density 12.26 g/cm³. Number 26: theoretical density 15.52 g/cm³. Number 27: theoretical density 13.73 g/cm³.